Here is a relaxed structure of SrNdAgAu from the Alexandria database. Energies are from GGA-PBE.

a b c (Å): 4.8725 4.0350 11.6043
angles (deg): 90.00 90.00 90.00
Closest atoms and distances in Å follow each position.
Sites, in units of the cell vectors:
Sr 0.0000 0.0000 0.0000  3 Au 3.20-3.29, 4 Ag 3.25
Sr 0.0000 0.5000 0.5000  3 Au 3.20-3.29, 4 Ag 3.25
Nd 0.5000 0.0000 0.7247  3 Ag 3.18-3.34, 4 Au 3.22
Nd 0.5000 0.5000 0.2247  3 Ag 3.18-3.34, 4 Au 3.22
Ag 0.5000 0.0000 0.4366  2 Au 3.07, 3 Nd 3.18-3.34, 4 Sr 3.25
Ag 0.5000 0.5000 0.9366  2 Au 3.07, 3 Nd 3.18-3.34, 4 Sr 3.25
Au 0.0000 0.0000 0.2756  2 Ag 3.07, 3 Sr 3.20-3.29, 4 Nd 3.22
Au 0.0000 0.5000 0.7756  2 Ag 3.07, 3 Sr 3.20-3.29, 4 Nd 3.22

## Properties
Theoretical density ... 7813 kg/m³
Space-group type ... No. 38
Energy relative to the elements ... -2.0 eV per formula unit
Total energy ... -3.649 eV per atom
Excess energy over the best structure of this formula in the dataset ... 0 meV/atom